Entry from Alexandria: a relaxed NaGe2Au2 crystal (GGA-PBE).

Structure (POSCAR):
```
NaGe2Au2
1.0
8.145 0.000 0.000
0.000 8.145 0.000
0.000 0.000 3.050
Na Ge Au
2 4 4
direct
0.000 0.000 0.000
0.500 0.500 0.000
0.150 0.350 0.500
0.350 0.850 0.500
0.650 0.150 0.500
0.850 0.650 0.500
0.148 0.648 0.000
0.352 0.148 0.000
0.648 0.852 0.000
0.852 0.352 0.000
```

## Properties
Space group: P4/mbm
Total magnetic moment: 0.000 Bohr magnetons per cell
Energy of formation: -0.061 eV/atom
Energy above the most stable polymorph in this dataset: 101 meV per atom